## Mn3FeO8 (PBE with a Hubbard U)

Data for an optimized crystal structure of Mn3FeO8.

Cell lengths 6.004, 6.004, 6.004 Å; angles 58.81, 58.81, 58.81 degrees
Sites, in units of the cell vectors:
Mn1 0.000 0.500 0.500
Mn2 0.500 0.000 0.500
Mn3 0.500 0.500 0.000
Fe1 0.000 0.000 0.000
O1 0.235 0.235 0.724
O2 0.235 0.724 0.235
O3 0.268 0.268 0.268
O4 0.276 0.765 0.765
O5 0.724 0.235 0.235
O6 0.732 0.732 0.732
O7 0.765 0.276 0.765
O8 0.765 0.765 0.276

Space-group type: R-3m, No. 166
Offset from the most stable computed form: 11.7 meV per atom

---

## Mn2Fe3O6 (PBE with a Hubbard U)

Data for an optimized crystal structure of Mn2Fe3O6.

Cell lengths 9.310, 9.310, 9.310 Å; angles 156.55, 156.55, 33.41 degrees
Sites, in units of the cell vectors:
Mn1 0.098 0.098 0.000
Mn2 0.902 0.902 0.000
Fe1 0.315 0.315 0.000
Fe2 0.500 0.500 0.000
Fe3 0.685 0.685 0.000
O1 0.077 0.577 0.500
O2 0.208 0.208 0.000
O3 0.423 0.923 0.500
O4 0.577 0.077 0.500
O5 0.792 0.792 0.000
O6 0.923 0.423 0.500

Space-group type: I4/mmm, No. 139

---

## Mn5FeO8 (PBE with a Hubbard U)

Data for an optimized crystal structure of Mn5FeO8.

Cell lengths 5.833, 5.833, 5.833 Å; angles 107.20, 107.20, 114.11 degrees
Sites, in units of the cell vectors:
Mn1 0.000 0.000 0.000
Mn2 0.130 0.562 0.951
Mn3 0.438 0.389 0.567
Mn4 0.611 0.179 0.049
Mn5 0.821 0.870 0.433
Fe1 0.250 0.750 0.500
O1 0.302 0.130 0.730
O2 0.353 0.052 0.237
O3 0.400 0.572 0.270
O4 0.428 0.698 0.828
O5 0.815 0.116 0.763
O6 0.870 0.600 0.172
O7 0.884 0.647 0.699
O8 0.948 0.185 0.301

Space-group type: I-4, No. 82

---

## MnFe2O3 (PBE with a Hubbard U)

Data for an optimized crystal structure of MnFe2O3.

Cell lengths 6.974, 6.974, 4.456 Å; angles 90.00, 90.00, 142.73 degrees
Sites, in units of the cell vectors:
Mn1 0.165 0.835 0.000
Mn2 0.835 0.165 0.000
Fe1 0.000 0.000 0.500
Fe2 0.331 0.669 0.500
Fe3 0.500 0.500 0.000
Fe4 0.669 0.331 0.500
O1 0.000 0.000 0.000
O2 0.169 0.831 0.500
O3 0.336 0.664 0.000
O4 0.500 0.500 0.500
O5 0.664 0.336 0.000
O6 0.831 0.169 0.500

Space-group type: Cmmm, No. 65
Offset from the most stable computed form: 0.0 meV per atom

---

| no. | uncorrected energy (eV per atom) |
| --- | --- |
| 1 | -6.85 |
| 2 | -6.70 |
| 3 | -7.34 |
| 4 | -7.03 |